## one
# Ca2Ge4Pd3 (PBE, optimized geometry)
# - magnetic moment (μB/f.u.) = 0.0
data_Ca2Ge4Pd3
_symmetry_space_group_name_H-M 'F m m m'
_symmetry_Int_Tables_number 69
_symmetry_space_group_name_Hall '-F 2 2'
_cell_length_a 5.600
_cell_length_b 10.018
_cell_length_c 12.502
_cell_angle_alpha 90.00
_cell_angle_beta 90.00
_cell_angle_gamma 90.00
loop_
_atom_site_label
_atom_site_type_symbol
_atom_site_fract_x
_atom_site_fract_y
_atom_site_fract_z
Ca1 Ca 0.000 0.000 0.137
Ge1 Ge 0.000 0.173 0.339
Pd1 Pd 0.000 0.000 0.500
Pd2 Pd 0.250 0.250 0.000

## two
# Ca2Ge4Pd3 (PBE, optimized geometry)
# - magnetic moment (μB/f.u.) = 0.0
data_Ca2Ge4Pd3
_symmetry_space_group_name_H-M 'C m c e'
_symmetry_Int_Tables_number 64
_symmetry_space_group_name_Hall '-C 2ac 2'
_cell_length_a 5.814
_cell_length_b 15.366
_cell_length_c 7.572
_cell_angle_alpha 90.00
_cell_angle_beta 90.00
_cell_angle_gamma 90.00
loop_
_atom_site_label
_atom_site_type_symbol
_atom_site_fract_x
_atom_site_fract_y
_atom_site_fract_z
Ca1 Ca 0.000 0.107 0.094
Ge1 Ge 0.000 0.182 0.478
Ge2 Ge 0.250 0.063 0.750
Pd1 Pd 0.000 0.000 0.500
Pd2 Pd 0.250 0.229 0.750

two is preferred energetically. Next in line: 4.2 kJ/mol of atoms higher.

## one
# Ca3Ge3Pd2 (PBE, optimized geometry)
# - magnetic moment (μB/f.u.) = 0.0
data_Ca3Ge3Pd2
_symmetry_space_group_name_H-M 'P n m a'
_symmetry_Int_Tables_number 62
_cell_length_a 8.386
_cell_length_b 14.683
_cell_length_c 5.739
_cell_angle_alpha 90.00
_cell_angle_beta 90.00
_cell_angle_gamma 90.00
loop_
_symmetry_equiv_pos_as_xyz
'x,y,z'
'-x,-y,-z'
'-x+1/2,-y,z+1/2'
'x+1/2,y,-z+1/2'
'x+1/2,-y+1/2,-z+1/2'
'-x+1/2,y+1/2,z+1/2'
'-x,y+1/2,-z'
'x,-y+1/2,z'
loop_
_atom_site_label
_atom_site_type_symbol
_atom_site_fract_x
_atom_site_fract_y
_atom_site_fract_z
Ca1 Ca 0.048 0.113 0.120
Ca2 Ca 0.196 0.250 0.612
Ge1 Ge 0.155 0.750 0.596
Ge2 Ge 0.197 0.040 0.623
Pd1 Pd 0.084 0.596 0.386

## two
# Ca3Ge3Pd2 (PBE, optimized geometry)
# - magnetic moment (μB/f.u.) = 0.0
data_Ca3Ge3Pd2
_symmetry_space_group_name_H-M 'C m c m'
_symmetry_Int_Tables_number 63
_symmetry_space_group_name_Hall '-C 2c 2'
_cell_length_a 4.426
_cell_length_b 10.688
_cell_length_c 14.578
_cell_angle_alpha 90.00
_cell_angle_beta 90.00
_cell_angle_gamma 90.00
loop_
_atom_site_label
_atom_site_type_symbol
_atom_site_fract_x
_atom_site_fract_y
_atom_site_fract_z
Ca1 Ca 0.000 0.086 0.112
Ca2 Ca 0.000 0.367 0.250
Ge1 Ge 0.000 0.333 0.750
Ge2 Ge 0.000 0.383 0.036
Pd1 Pd 0.000 0.205 0.595

two is preferred energetically. Next in line: 4.8 kJ/mol of atoms higher.

## one
# CaGe2Pd4 (PBE, optimized geometry)
# - magnetic moment (μB/f.u.) = 0.0
data_CaGe2Pd4
_symmetry_space_group_name_H-M 'P n m a'
_symmetry_Int_Tables_number 62
_cell_length_a 17.385
_cell_length_b 4.310
_cell_length_c 6.496
_cell_angle_alpha 90.00
_cell_angle_beta 90.00
_cell_angle_gamma 90.00
loop_
_symmetry_equiv_pos_as_xyz
'x,y,z'
'-x,-y,-z'
'-x+1/2,-y,z+1/2'
'x+1/2,y,-z+1/2'
'x+1/2,-y+1/2,-z+1/2'
'-x+1/2,y+1/2,z+1/2'
'-x,y+1/2,-z'
'x,-y+1/2,z'
loop_
_atom_site_label
_atom_site_type_symbol
_atom_site_fract_x
_atom_site_fract_y
_atom_site_fract_z
Ca1 Ca 0.139 0.250 0.010
Ge1 Ge 0.041 0.750 0.740
Ge2 Ge 0.217 0.250 0.505
Pd1 Pd 0.027 0.750 0.141
Pd2 Pd 0.074 0.250 0.498
Pd3 Pd 0.187 0.750 0.720
Pd4 Pd 0.189 0.750 0.292

## two
# CaGe2Pd4 (PBE, optimized geometry)
# - magnetic moment (μB/f.u.) = 0.0
data_CaGe2Pd4
_symmetry_space_group_name_H-M 'P 42/m n m'
_symmetry_Int_Tables_number 136
_symmetry_space_group_name_Hall '-P 4n 2n'
_cell_length_a 7.983
_cell_length_b 7.983
_cell_length_c 3.870
_cell_angle_alpha 90.00
_cell_angle_beta 90.00
_cell_angle_gamma 90.00
loop_
_atom_site_label
_atom_site_type_symbol
_atom_site_fract_x
_atom_site_fract_y
_atom_site_fract_z
Ca1 Ca 0.000 0.000 0.000
Ge1 Ge 0.226 0.226 0.500
Pd1 Pd 0.076 0.673 0.500

two is preferred energetically. Next in line: 4.2 kJ/mol of atoms higher.

## one
# CaPmGe3 (PBE, optimized geometry)
# - magnetic moment (μB/f.u.) = 0.0
data_CaPmGe3
_symmetry_space_group_name_H-M 'C m c m'
_symmetry_Int_Tables_number 63
_symmetry_space_group_name_Hall '-C 2c 2'
_cell_length_a 4.402
_cell_length_b 27.236
_cell_length_c 4.069
_cell_angle_alpha 90.00
_cell_angle_beta 90.00
_cell_angle_gamma 90.00
loop_
_atom_site_label
_atom_site_type_symbol
_atom_site_fract_x
_atom_site_fract_y
_atom_site_fract_z
Ca1 Ca 0.000 0.075 0.250
Pm1 Pm 0.000 0.202 0.750
Ge1 Ge 0.000 0.315 0.750
Ge2 Ge 0.000 0.377 0.250
Ge3 Ge 0.000 0.473 0.250

## two
# CaPmGe3 (PBE, optimized geometry)
# - magnetic moment (μB/f.u.) = 0.0
data_CaPmGe3
_symmetry_space_group_name_H-M 'C m c m'
_symmetry_Int_Tables_number 63
_symmetry_space_group_name_Hall '-C 2c 2'
_cell_length_a 4.292
_cell_length_b 27.540
_cell_length_c 4.028
_cell_angle_alpha 90.00
_cell_angle_beta 90.00
_cell_angle_gamma 90.00
loop_
_atom_site_label
_atom_site_type_symbol
_atom_site_fract_x
_atom_site_fract_y
_atom_site_fract_z
Ca1 Ca 0.000 0.205 0.250
Pm1 Pm 0.000 0.075 0.750
Ge1 Ge 0.000 0.319 0.250
Ge2 Ge 0.000 0.377 0.750
Ge3 Ge 0.000 0.472 0.750

two is preferred energetically. Next in line: 1.0 kJ/mol of atoms higher.

## one
# CaPmGePt (PBE, optimized geometry)
# - magnetic moment (μB/f.u.) = 0.0
data_CaPmGePt
_symmetry_space_group_name_H-M 'F -4 3 m'
_symmetry_Int_Tables_number 216
_symmetry_space_group_name_Hall 'F -4 2 3'
_cell_length_a 7.187
_cell_length_b 7.187
_cell_length_c 7.187
_cell_angle_alpha 90.00
_cell_angle_beta 90.00
_cell_angle_gamma 90.00
loop_
_atom_site_label
_atom_site_type_symbol
_atom_site_fract_x
_atom_site_fract_y
_atom_site_fract_z
Ca1 Ca 0.000 0.000 0.000
Pm1 Pm 0.000 0.000 0.500
Ge1 Ge 0.250 0.250 0.750
Pt1 Pt 0.250 0.250 0.250

## two
# CaPmGePt (PBE, optimized geometry)
# - magnetic moment (μB/f.u.) = 0.0
data_CaPmGePt
_symmetry_space_group_name_H-M 'A m m 2'
_symmetry_Int_Tables_number 38
_cell_length_a 4.292
_cell_length_b 4.188
_cell_length_c 10.842
_cell_angle_alpha 90.00
_cell_angle_beta 90.00
_cell_angle_gamma 90.00
loop_
_symmetry_equiv_pos_as_xyz
'x,y,z'
'-x,-y,z'
'-x,y,z'
'x,-y,z'
'x,y+1/2,z+1/2'
'-x,-y+1/2,z+1/2'
'-x,y+1/2,z+1/2'
'x,-y+1/2,z+1/2'
loop_
_atom_site_label
_atom_site_type_symbol
_atom_site_fract_x
_atom_site_fract_y
_atom_site_fract_z
Ca1 Ca 0.000 0.000 0.000
Pm1 Pm 0.500 0.000 0.716
Ge1 Ge 0.500 0.000 0.428
Pt1 Pt 0.000 0.000 0.284

two is preferred energetically. Next in line: 7.1 kJ/mol of atoms higher.

## one
# CaPrGeRh (PBE, optimized geometry)
# - magnetic moment (μB/f.u.) = 0.0
data_CaPrGeRh
_symmetry_space_group_name_H-M 'A m m 2'
_symmetry_Int_Tables_number 38
_cell_length_a 3.959
_cell_length_b 4.424
_cell_length_c 11.154
_cell_angle_alpha 90.00
_cell_angle_beta 90.00
_cell_angle_gamma 90.00
loop_
_symmetry_equiv_pos_as_xyz
'x,y,z'
'-x,-y,z'
'-x,y,z'
'x,-y,z'
'x,y+1/2,z+1/2'
'-x,-y+1/2,z+1/2'
'-x,y+1/2,z+1/2'
'x,-y+1/2,z+1/2'
loop_
_atom_site_label
_atom_site_type_symbol
_atom_site_fract_x
_atom_site_fract_y
_atom_site_fract_z
Ca1 Ca 0.000 0.000 0.000
Pr1 Pr 0.500 0.000 0.285
Ge1 Ge 0.500 0.000 0.578
Rh1 Rh 0.000 0.000 0.720

## two
# CaPrGeRh (PBE, optimized geometry)
# - magnetic moment (μB/f.u.) = 0.0
data_CaPrGeRh
_symmetry_space_group_name_H-M 'F -4 3 m'
_symmetry_Int_Tables_number 216
_symmetry_space_group_name_Hall 'F -4 2 3'
_cell_length_a 7.179
_cell_length_b 7.179
_cell_length_c 7.179
_cell_angle_alpha 90.00
_cell_angle_beta 90.00
_cell_angle_gamma 90.00
loop_
_atom_site_label
_atom_site_type_symbol
_atom_site_fract_x
_atom_site_fract_y
_atom_site_fract_z
Ca1 Ca 0.000 0.000 0.000
Pr1 Pr 0.000 0.000 0.500
Ge1 Ge 0.250 0.250 0.250
Rh1 Rh 0.250 0.250 0.750

one is preferred energetically. Next in line: 15.3 kJ/mol of atoms higher.

## one
# Ca3Ge3Pt2 (PBE, optimized geometry)
# - magnetic moment (μB/f.u.) = 0.0
data_Ca3Ge3Pt2
_symmetry_space_group_name_H-M 'P n m a'
_symmetry_Int_Tables_number 62
_cell_length_a 8.291
_cell_length_b 14.703
_cell_length_c 5.763
_cell_angle_alpha 90.00
_cell_angle_beta 90.00
_cell_angle_gamma 90.00
loop_
_symmetry_equiv_pos_as_xyz
'x,y,z'
'-x,-y,-z'
'-x+1/2,-y,z+1/2'
'x+1/2,y,-z+1/2'
'x+1/2,-y+1/2,-z+1/2'
'-x+1/2,y+1/2,z+1/2'
'-x,y+1/2,-z'
'x,-y+1/2,z'
loop_
_atom_site_label
_atom_site_type_symbol
_atom_site_fract_x
_atom_site_fract_y
_atom_site_fract_z
Ca1 Ca 0.048 0.112 0.123
Ca2 Ca 0.194 0.250 0.618
Ge1 Ge 0.153 0.750 0.604
Ge2 Ge 0.186 0.039 0.626
Pt1 Pt 0.093 0.602 0.377

## two
# Ca3Ge3Pt2 (PBE, optimized geometry)
# - magnetic moment (μB/f.u.) = 0.0
data_Ca3Ge3Pt2
_symmetry_space_group_name_H-M 'C m c m'
_symmetry_Int_Tables_number 63
_symmetry_space_group_name_Hall '-C 2c 2'
_cell_length_a 4.404
_cell_length_b 10.670
_cell_length_c 14.623
_cell_angle_alpha 90.00
_cell_angle_beta 90.00
_cell_angle_gamma 90.00
loop_
_atom_site_label
_atom_site_type_symbol
_atom_site_fract_x
_atom_site_fract_y
_atom_site_fract_z
Ca1 Ca 0.000 0.085 0.112
Ca2 Ca 0.000 0.367 0.250
Ge1 Ge 0.000 0.334 0.750
Ge2 Ge 0.000 0.375 0.035
Pt1 Pt 0.000 0.204 0.600

two is preferred energetically. Next in line: 5.5 kJ/mol of atoms higher.

## one
# CaGePt3 (PBE, optimized geometry)
# - magnetic moment (μB/f.u.) = 0.0
data_CaGePt3
_symmetry_space_group_name_H-M 'P 1 21/m 1'
_symmetry_Int_Tables_number 11
_cell_length_a 5.351
_cell_length_b 5.638
_cell_length_c 6.088
_cell_angle_alpha 90.00
_cell_angle_beta 94.53
_cell_angle_gamma 90.00
loop_
_symmetry_equiv_pos_as_xyz
'x,y,z'
'-x,-y,-z'
'-x,y+1/2,-z'
'x,-y+1/2,z'
loop_
_atom_site_label
_atom_site_type_symbol
_atom_site_fract_x
_atom_site_fract_y
_atom_site_fract_z
Ca1 Ca 0.173 0.250 0.159
Ge1 Ge 0.091 0.750 0.368
Pt1 Pt 0.308 0.004 0.660
Pt2 Pt 0.345 0.750 0.053

## two
# CaGePt3 (PBE, optimized geometry)
# - magnetic moment (μB/f.u.) = 0.0
data_CaGePt3
_symmetry_space_group_name_H-M 'P m -3 m'
_symmetry_Int_Tables_number 221
_symmetry_space_group_name_Hall '-P 4 2 3'
_cell_length_a 4.981
_cell_length_b 4.981
_cell_length_c 4.981
_cell_angle_alpha 90.00
_cell_angle_beta 90.00
_cell_angle_gamma 90.00
loop_
_atom_site_label
_atom_site_type_symbol
_atom_site_fract_x
_atom_site_fract_y
_atom_site_fract_z
Ca1 Ca 0.000 0.000 0.000
Ge1 Ge 0.500 0.500 0.500
Pt1 Pt 0.000 0.000 0.500

## three
# CaGePt3 (PBE, optimized geometry)
# - magnetic moment (μB/f.u.) = 0.0
data_CaGePt3
_symmetry_space_group_name_H-M 'I m m a'
_symmetry_Int_Tables_number 74
_symmetry_space_group_name_Hall '-I 2b 2'
_cell_length_a 5.540
_cell_length_b 8.735
_cell_length_c 8.413
_cell_angle_alpha 90.00
_cell_angle_beta 90.00
_cell_angle_gamma 90.00
loop_
_atom_site_label
_atom_site_type_symbol
_atom_site_fract_x
_atom_site_fract_y
_atom_site_fract_z
Ca1 Ca 0.000 0.250 0.034
Ge1 Ge 0.000 0.000 0.500
Pt1 Pt 0.000 0.250 0.641
Pt2 Pt 0.250 0.001 0.750

## four
# CaGePt3 (PBE, optimized geometry)
# - magnetic moment (μB/f.u.) = 0.0
data_CaGePt3
_symmetry_space_group_name_H-M 'P m -3 m'
_symmetry_Int_Tables_number 221
_symmetry_space_group_name_Hall '-P 4 2 3'
_cell_length_a 4.732
_cell_length_b 4.732
_cell_length_c 4.732
_cell_angle_alpha 90.00
_cell_angle_beta 90.00
_cell_angle_gamma 90.00
loop_
_atom_site_label
_atom_site_type_symbol
_atom_site_fract_x
_atom_site_fract_y
_atom_site_fract_z
Ca1 Ca 0.000 0.000 0.000
Ge1 Ge 0.500 0.500 0.500
Pt1 Pt 0.000 0.500 0.500

one is preferred energetically. Next in line: 7.8 kJ/mol of atoms higher.

## one
# Ca2Ge3Pt2 (PBE, optimized geometry)
# - magnetic moment (μB/f.u.) = 0.0
data_Ca2Ge3Pt2
_symmetry_space_group_name_H-M 'C m c m'
_symmetry_Int_Tables_number 63
_symmetry_space_group_name_Hall '-C 2c 2'
_cell_length_a 4.297
_cell_length_b 18.056
_cell_length_c 7.207
_cell_angle_alpha 90.00
_cell_angle_beta 90.00
_cell_angle_gamma 90.00
loop_
_atom_site_label
_atom_site_type_symbol
_atom_site_fract_x
_atom_site_fract_y
_atom_site_fract_z
Ca1 Ca 0.000 0.062 0.250
Ca2 Ca 0.000 0.156 0.750
Ge1 Ge 0.000 0.230 0.250
Ge2 Ge 0.000 0.439 0.075
Pt1 Pt 0.000 0.309 0.551

## two
# Ca2Ge3Pt2 (PBE, optimized geometry)
# - magnetic moment (μB/f.u.) = 0.0
data_Ca2Ge3Pt2
_symmetry_space_group_name_H-M 'C 1 2/m 1'
_symmetry_Int_Tables_number 12
_cell_length_a 10.520
_cell_length_b 4.276
_cell_length_c 6.915
_cell_angle_alpha 90.00
_cell_angle_beta 115.81
_cell_angle_gamma 90.00
loop_
_symmetry_equiv_pos_as_xyz
'x,y,z'
'-x,-y,-z'
'-x,y,-z'
'x,-y,z'
'x+1/2,y+1/2,z'
'-x+1/2,-y+1/2,-z'
'-x+1/2,y+1/2,-z'
'x+1/2,-y+1/2,z'
loop_
_atom_site_label
_atom_site_type_symbol
_atom_site_fract_x
_atom_site_fract_y
_atom_site_fract_z
Ca1 Ca 0.153 0.000 0.280
Ge1 Ge 0.000 0.500 0.500
Ge2 Ge 0.120 0.500 0.948
Pt1 Pt 0.132 0.000 0.728

one is preferred energetically. Next in line: 5.0 kJ/mol of atoms higher.